No. 1
Below is BS after structural relaxation, with properties calculated at the PBE-GGA level.

```
BS
1.0
5.534 0.000 0.000
0.000 5.534 0.000
0.000 0.000 5.534
B S
6 6
direct
0.250 0.000 0.500
0.750 0.000 0.500
0.000 0.500 0.250
0.000 0.500 0.750
0.500 0.250 0.000
0.500 0.750 0.000
0.250 0.500 0.000
0.750 0.500 0.000
0.500 0.000 0.250
0.500 0.000 0.750
0.000 0.250 0.500
0.000 0.750 0.500
```

Calculated values
energy relative to the elements, uncorrected: 528 meV per atom
uncorrected energy: -4.8746 eV per atom

***

No. 2
Below is BS after structural relaxation, with properties calculated at the PBE-GGA level.

```
BS
1.0
3.008 0.000 0.000
0.000 7.662 0.000
0.000 0.000 11.384
B S
6 6
direct
0.500 0.605 0.735
0.500 0.395 0.735
0.500 0.105 0.235
0.500 0.895 0.235
0.000 0.000 0.422
0.000 0.500 0.922
0.000 0.287 0.796
0.000 0.713 0.796
0.000 0.787 0.296
0.000 0.213 0.296
0.500 0.000 0.517
0.500 0.500 0.017
```

Calculated values
energy relative to the elements, uncorrected: 15 meV per atom
uncorrected energy: -5.3873 eV per atom